No. 1
Compound: CrGa2Tc
Source: Alexandria
Functional: GGA-PBE
Structure: optimized geometry

a b c (Å): 6.121 6.121 6.121
angles (deg): 90.00 90.00 90.00
Space group Fm-3m (No. 225)
Inequivalent atoms, fractional coordinates:
Cr (0.000, 0.000, 0.000)
Ga (0.250, 0.250, 0.250)
Tc (0.000, 0.000, 0.500)

Output
formation energy from the elements = -20.1 meV per atom
DFT total energy = -6.531 eV/atom



No. 2
Compound: LiCa2RePt
Source: Alexandria
Functional: GGA-PBE
Structure: optimized geometry

a b c (Å): 5.434 5.434 4.578
angles (deg): 90.00 90.00 90.00
Space group P4/mmm (No. 123)
Inequivalent atoms, fractional coordinates:
Li (0.000, 0.000, 0.000)
Ca (0.000, 0.500, 0.500)
Re (0.500, 0.500, 0.000)
Pt (0.000, 0.000, 0.500)

Output
formation energy from the elements = 680.2 meV per atom
DFT total energy = -4.201 eV/atom



No. 3
Compound: Pr15YSc4
Source: Alexandria
Functional: GGA-PBE
Structure: optimized geometry

a b c (Å): 5.114 5.114 25.500
angles (deg): 90.00 90.00 90.00
Space group P4/mmm (No. 123)
Inequivalent atoms, fractional coordinates:
Pr (0.000, 0.000, 0.000)
Pr (0.000, 0.000, 0.203)
Pr (0.000, 0.000, 0.401)
Pr (0.000, 0.500, 0.103)
Pr (0.000, 0.500, 0.302)
Pr (0.000, 0.500, 0.500)
Y (0.500, 0.500, 0.000)
Sc (0.500, 0.500, 0.202)
Sc (0.500, 0.500, 0.401)

Output
formation energy from the elements = 29.7 meV per atom
DFT total energy = -5.144 eV/atom



No. 4
Compound: Sc4Ir2C
Source: Alexandria
Functional: GGA-PBE
Structure: optimized geometry

a b c (Å): 4.335 4.335 13.654
angles (deg): 90.00 90.00 90.00
Space group I4/mmm (No. 139)
Inequivalent atoms, fractional coordinates:
Sc (0.000, 0.000, 0.168)
Sc (0.000, 0.500, 0.000)
Ir (0.000, 0.000, 0.361)
C (0.000, 0.000, 0.000)

Output
formation energy from the elements = -469.2 meV per atom
DFT total energy = -7.937 eV/atom



No. 5
Compound: BaNpAg2O8
Source: Alexandria
Functional: GGA-PBE
Structure: optimized geometry

a b c (Å): 7.394 7.394 7.424
angles (deg): 90.00 90.00 90.00
Space group I-4m2 (No. 119)
Inequivalent atoms, fractional coordinates:
Ba (0.000, 0.000, 0.000)
Np (0.000, 0.500, 0.750)
Ag (0.000, 0.000, 0.500)
Ag (0.000, 0.500, 0.250)
O (0.000, 0.238, 0.704)
O (0.000, 0.346, 0.033)

Output
DFT total energy = -6.130 eV/atom
ΔE_f (raw) = -1.111 eV/atom



No. 6
Compound: Sm5Er3Th
Source: Alexandria
Functional: GGA-PBE
Structure: optimized geometry

a b c (Å): 7.860 7.860 19.533
angles (deg): 90.00 90.00 90.00
Space group I4/mcm (No. 140)
Inequivalent atoms, fractional coordinates:
Sm (0.000, 0.000, 0.000)
Sm (0.206, 0.294, 0.132)
Er (0.000, 0.000, 0.250)
Er (0.131, 0.369, 0.500)
Th (0.000, 0.500, 0.250)

Output
formation energy from the elements = 316.3 meV per atom
DFT total energy = -4.651 eV/atom



No. 7
Compound: PrDyHo5
Source: Alexandria
Functional: GGA-PBE
Structure: optimized geometry

a b c (Å): 5.769 8.635 11.810
angles (deg): 90.00 90.00 90.00
Space group Immm (No. 71)
Inequivalent atoms, fractional coordinates:
Pr (0.000, 0.000, 0.000)
Dy (0.000, 0.000, 0.500)
Ho (0.000, 0.000, 0.253)
Ho (0.000, 0.321, 0.500)
Ho (0.000, 0.500, 0.000)

Output
formation energy from the elements = 1115.7 meV per atom
DFT total energy = -3.494 eV/atom



No. 8
Compound: Na6MgSn2
Source: Alexandria
Functional: GGA-PBE
Structure: optimized geometry

a b c (Å): 5.5554 5.5554 31.0311
angles (deg): 90.00 90.00 120.00
Space group R-3m (No. 166, hexagonal axes)
Inequivalent atoms, fractional coordinates:
Na (0.0000, 0.0000, 0.0796)
Na (0.0000, 0.0000, 0.2076)
Na (0.0000, 0.0000, 0.3086)
Mg (0.0000, 0.0000, 0.5000)
Sn (0.0000, 0.0000, 0.4107)

Output
formation energy from the elements = -131.5 meV per atom
DFT total energy = -2.078 eV/atom